Entry 1:
# RuRhPb2 meta-GGA SCAN single point on PBEsol structure
data_RuRhPb2
_space_group_name_H-M_alt 'I m m 2'
_space_group_IT_number 44
_space_group_name_Hall 'I 2 -2'
_cell_length_a 3.2719
_cell_length_b 4.3772
_cell_length_c 10.4542
_cell_angle_alpha 90.00
_cell_angle_beta 90.00
_cell_angle_gamma 90.00
loop_
_atom_site_label
_atom_site_fract_x
_atom_site_fract_y
_atom_site_fract_z
Ru1 0.0000 0.0000 0.0000
Rh1 0.0000 0.5000 0.2332
Pb1 0.0000 0.0000 0.4935
Pb2 0.0000 0.5000 0.7245
# energy of formation from the pure elements = 0.443 eV/atom
# DOS(E_F) = 3.59 states/eV/cell
# total moment = 0.00 μB per cell
# E_tot = -2.00642 Ha/atom

=====

Entry 2:
# ScTePtN2 meta-GGA SCAN single point on PBEsol structure
data_ScTePtN2
_space_group_name_H-M_alt 'P 4/m m m'
_space_group_IT_number 123
_space_group_name_Hall '-P 4 2'
_cell_length_a 3.9605
_cell_length_b 3.9605
_cell_length_c 6.0128
_cell_angle_alpha 90.00
_cell_angle_beta 90.00
_cell_angle_gamma 90.00
loop_
_atom_site_label
_atom_site_fract_x
_atom_site_fract_y
_atom_site_fract_z
Sc1 0.0000 0.0000 0.0000
Te1 0.0000 0.0000 0.5000
Pt1 0.5000 0.5000 0.5000
N1 0.0000 0.5000 0.0000
# E_form (uncorrected) = 3.884 eV per formula unit
# DOS(E_F) = 2.35 states/eV/cell
# energy relative to the lowest polymorph listed for this composition = 55 meV per atom
# total moment = 3.86 μB per cell
# E_tot = -1.00237 Ha/atom

=====

Entry 3:
# La4As2S6O3 meta-GGA SCAN single point on PBEsol structure
data_La4As2S6O3
_space_group_name_H-M_alt 'I b a 2'
_space_group_IT_number 45
_space_group_name_Hall 'I 2 -2c'
_cell_length_a 11.8699
_cell_length_b 19.1207
_cell_length_c 5.7933
_cell_angle_alpha 90.00
_cell_angle_beta 90.00
_cell_angle_gamma 90.00
loop_
_atom_site_label
_atom_site_fract_x
_atom_site_fract_y
_atom_site_fract_z
La1 0.1030 0.0741 0.0000
La2 0.1101 0.2198 0.4993
As1 0.1199 0.3925 0.1114
S1 0.1314 0.2765 0.0006
S2 0.1567 0.3738 0.4877
S3 0.2038 0.0751 0.4997
O1 0.0000 0.0000 0.2559
O2 0.9996 0.1545 0.2541
# E_form (uncorrected) = -34.063 eV per formula unit
# DOS(E_F) = 0.00 states/eV/cell
# total moment = 0.00 μB per cell
# E_tot = -0.79213 Ha/atom

=====

Entry 4:
# SiMo2H meta-GGA SCAN single point on PBEsol structure
data_SiMo2H
_space_group_name_H-M_alt 'I -4 2 d'
_space_group_IT_number 122
_space_group_name_Hall 'I -4 2bw'
_cell_length_a 5.7794
_cell_length_b 5.7794
_cell_length_c 5.6145
_cell_angle_alpha 90.00
_cell_angle_beta 90.00
_cell_angle_gamma 90.00
loop_
_atom_site_label
_atom_site_fract_x
_atom_site_fract_y
_atom_site_fract_z
Si1 0.0000 0.0000 0.0000
Mo1 0.1665 0.2500 0.6250
H1 0.0000 0.0000 0.5000
# DOS(E_F) = 7.25 states/eV/cell
# total moment = 0.00 μB per cell
# E_tot = -0.76041 Ha/atom

=====

Entry 5:
# Hf3TiSe meta-GGA SCAN single point on PBEsol structure
data_Hf3TiSe
_space_group_name_H-M_alt 'P m -3 m'
_space_group_IT_number 221
_space_group_name_Hall '-P 4 2 3'
_cell_length_a 4.8519
_cell_length_b 4.8519
_cell_length_c 4.8519
_cell_angle_alpha 90.00
_cell_angle_beta 90.00
_cell_angle_gamma 90.00
loop_
_atom_site_label
_atom_site_fract_x
_atom_site_fract_y
_atom_site_fract_z
Hf1 0.0000 0.0000 0.5000
Ti1 0.0000 0.0000 0.0000
Se1 0.5000 0.5000 0.5000
# E_form (uncorrected) = 4.361 eV per formula unit
# DOS(E_F) = 6.88 states/eV/cell
# total moment = 0.00 μB per cell
# E_tot = -1.61525 Ha/atom

=====

Entry 6:
# BeInRe2 meta-GGA SCAN single point on PBEsol structure
data_BeInRe2
_space_group_name_H-M_alt 'P 1 2/m 1'
_space_group_IT_number 10
_space_group_name_Hall '-P 2y'
_cell_length_a 2.7751
_cell_length_b 4.1749
_cell_length_c 5.1665
_cell_angle_alpha 90.00
_cell_angle_beta 100.07
_cell_angle_gamma 90.00
loop_
_atom_site_label
_atom_site_fract_x
_atom_site_fract_y
_atom_site_fract_z
Be1 0.0000 0.0000 0.0000
In1 0.5000 0.0000 0.5000
Re1 0.1936 0.5000 0.7819
# energy of formation from the pure elements = 0.479 eV/atom
# DOS(E_F) = 2.27 states/eV/cell
# energy relative to the lowest polymorph listed for this composition = 102 meV per atom
# total moment = 0.00 μB per cell
# E_tot = -1.63551 Ha/atom

=====

Entry 7:
# NaZr2N meta-GGA SCAN single point on PBEsol structure
data_NaZr2N
_space_group_name_H-M_alt 'I -4 2 d'
_space_group_IT_number 122
_space_group_name_Hall 'I -4 2bw'
_cell_length_a 6.5373
_cell_length_b 6.5373
_cell_length_c 8.1890
_cell_angle_alpha 90.00
_cell_angle_beta 90.00
_cell_angle_gamma 90.00
loop_
_atom_site_label
_atom_site_fract_x
_atom_site_fract_y
_atom_site_fract_z
Na1 0.0000 0.0000 0.0000
Zr1 0.1158 0.2500 0.6250
N1 0.0000 0.0000 0.5000
# E_form (uncorrected) = -0.955 eV per formula unit
# DOS(E_F) = 13.11 states/eV/cell
# total moment = 0.00 μB per cell
# E_tot = -0.69694 Ha/atom

=====

Entry 8:
# ReAuO3 meta-GGA SCAN single point on PBEsol structure
data_ReAuO3
_space_group_name_H-M_alt 'P m -3 m'
_space_group_IT_number 221
_space_group_name_Hall '-P 4 2 3'
_cell_length_a 4.0142
_cell_length_b 4.0142
_cell_length_c 4.0142
_cell_angle_alpha 90.00
_cell_angle_beta 90.00
_cell_angle_gamma 90.00
loop_
_atom_site_label
_atom_site_fract_x
_atom_site_fract_y
_atom_site_fract_z
Re1 0.0000 0.0000 0.0000
Au1 0.5000 0.5000 0.5000
O1 0.0000 0.5000 0.5000
# E_form (uncorrected) = 5.346 eV per formula unit
# DOS(E_F) = 3.34 states/eV/cell
# total moment = 4.73 μB per cell
# E_tot = -1.12895 Ha/atom

=====

Entry 9:
# NbN2O2 meta-GGA SCAN single point on PBEsol structure
data_NbN2O2
_space_group_name_H-M_alt 'P 4/m m m'
_space_group_IT_number 123
_space_group_name_Hall '-P 4 2'
_cell_length_a 3.5109
_cell_length_b 3.5109
_cell_length_c 3.4051
_cell_angle_alpha 90.00
_cell_angle_beta 90.00
_cell_angle_gamma 90.00
loop_
_atom_site_label
_atom_site_fract_x
_atom_site_fract_y
_atom_site_fract_z
Nb1 0.0000 0.0000 0.0000
N1 0.0000 0.5000 0.5000
O1 0.5000 0.5000 0.0000
O2 0.5000 0.5000 0.5000
# E_form (uncorrected) = 5.173 eV per formula unit
# DOS(E_F) = 1.34 states/eV/cell
# total moment = 0.00 μB per cell
# E_tot = -0.43365 Ha/atom

=====

Entry 10:
# BaAs2SeBr meta-GGA SCAN single point on PBEsol structure
data_BaAs2SeBr
_space_group_name_H-M_alt 'P 4/m m m'
_space_group_IT_number 123
_space_group_name_Hall '-P 4 2'
_cell_length_a 5.0007
_cell_length_b 5.0007
_cell_length_c 5.7230
_cell_angle_alpha 90.00
_cell_angle_beta 90.00
_cell_angle_gamma 90.00
loop_
_atom_site_label
_atom_site_fract_x
_atom_site_fract_y
_atom_site_fract_z
Ba1 0.0000 0.0000 0.0000
As1 0.0000 0.5000 0.5000
Se1 0.5000 0.5000 0.5000
Br1 0.5000 0.5000 0.0000
# E_form (uncorrected) = -1.970 eV per formula unit
# DOS(E_F) = 3.39 states/eV/cell
# total moment = 0.00 μB per cell
# E_tot = -0.89256 Ha/atom

=====

Entry 11:
# InSi4Tc meta-GGA SCAN single point on PBEsol structure
data_InSi4Tc
_space_group_name_H-M_alt 'F -4 3 m'
_space_group_IT_number 216
_space_group_name_Hall 'F -4 2 3'
_cell_length_a 7.1282
_cell_length_b 7.1282
_cell_length_c 7.1282
_cell_angle_alpha 90.00
_cell_angle_beta 90.00
_cell_angle_gamma 90.00
loop_
_atom_site_label
_atom_site_fract_x
_atom_site_fract_y
_atom_site_fract_z
In1 0.0000 0.0000 0.0000
Si1 0.1239 0.1239 0.3761
Tc1 0.2500 0.2500 0.7500
# E_form (uncorrected) = 4.093 eV per formula unit
# DOS(E_F) = 12.48 states/eV/cell
# total moment = 0.00 μB per cell
# E_tot = -0.63954 Ha/atom

=====

Entry 12:
# Co2TcMoPd meta-GGA SCAN single point on PBEsol structure
data_Co2TcMoPd
_space_group_name_H-M_alt 'P 4/m m m'
_space_group_IT_number 123
_space_group_name_Hall '-P 4 2'
_cell_length_a 4.3156
_cell_length_b 4.3156
_cell_length_c 4.4994
_cell_angle_alpha 90.00
_cell_angle_beta 90.00
_cell_angle_gamma 90.00
loop_
_atom_site_label
_atom_site_fract_x
_atom_site_fract_y
_atom_site_fract_z
Co1 0.0000 0.5000 0.0000
Tc1 0.0000 0.0000 0.0000
Mo1 0.0000 0.0000 0.5000
Pd1 0.5000 0.5000 0.5000
# energy of formation from the pure elements = 1.528 eV/atom
# DOS(E_F) = 4.93 states/eV/cell
# total moment = 2.66 μB per cell
# E_tot = -0.95321 Ha/atom

=====

Entry 13:
# Ca2AuC meta-GGA SCAN single point on PBEsol structure
data_Ca2AuC
_space_group_name_H-M_alt 'I -4 2 d'
_space_group_IT_number 122
_space_group_name_Hall 'I -4 2bw'
_cell_length_a 7.1055
_cell_length_b 7.1055
_cell_length_c 7.1415
_cell_angle_alpha 90.00
_cell_angle_beta 90.00
_cell_angle_gamma 90.00
loop_
_atom_site_label
_atom_site_fract_x
_atom_site_fract_y
_atom_site_fract_z
Ca1 0.1866 0.7500 0.1250
Au1 0.0000 0.0000 0.5000
C1 0.0000 0.0000 0.0000
# energy of formation from the pure elements = 0.188 eV/atom
# DOS(E_F) = 6.28 states/eV/cell
# total moment = 4.01 μB per cell
# E_tot = -0.89883 Ha/atom